TmMgGa2Ni5 PBE relaxed; space group = P4/mmm; energy relative to the elements = -0.269 eV per atom; electronic total energy = -43.444 eV/cell; calculated volume = 14.78 Å³ per atom
1.0
3.857 0.000 0.000
0.000 3.857 0.000
0.000 0.000 8.943
Tm Mg Ga Ni
1 1 2 5
Direct
0.000 0.000 0.000
0.000 0.000 0.500
0.500 0.500 0.362
0.500 0.500 0.638
0.000 0.500 0.214
0.000 0.500 0.786
0.500 0.000 0.214
0.500 0.000 0.786
0.500 0.500 0.000